First-principles (meta-GGA SCAN) data for a PBEsol-optimized structure of HW2Br, as listed in Alexandria.

```
HW2Br
1.0
4.884 0.000 0.000
0.000 4.884 0.000
-2.442 -2.442 4.908
W H Br
4 2 2
Cartesian
-1.221 -0.572 3.681
3.014 1.221 1.227
1.871 3.663 1.227
1.221 0.572 3.681
2.442 0.000 2.454
2.442 2.442 0.000
0.000 0.000 0.000
0.000 2.442 2.454
```

**Total DFT energy (no corrections)**: -315.49 eV per cell
**Symmetry**: I-42d (122)
**Magnetization**: 0.00 μB/cell



First-principles (meta-GGA SCAN) data for a PBEsol-optimized structure of TaMn2Sb, as listed in Alexandria.

```
TaMn2Sb
1.0
3.798 0.000 0.000
0.000 3.798 0.000
-1.899 -1.899 4.141
Mn Ta Sb
2 1 1
Cartesian
1.899 0.000 2.070
0.000 0.000 0.000
0.000 1.899 2.070
1.899 1.899 0.000
```

**Symmetry**: I-4m2 (119)
**Magnetization**: 4.25 μB/cell
**Formation energy without anion corrections**: -9 meV/atom